Material: DyErMgCo
Method: DFT, PBE
State: relaxed

abc: 4.9955 4.9955 4.9955
angles: 60.00 60.00 60.00
Last column: magnetic moment on the atom in μB.
Positions (direct):
Er1 0.2500 0.2500 0.2500  -0.16
Mg1 0.0000 0.0000 0.0000  0.00
Co1 0.5000 0.5000 0.5000  0.77
Dy1 0.7500 0.7500 0.7500  -0.15

Calculated values
**ΔE_f**: -0.1 eV per formula unit
**Density**: 7.8 g/cm3
**Crystal system**: cubic